## a
InTeW2 | the Alexandria database | GGA-PBEsol | relaxed; SG = I-4m2; crystal system = tetragonal; DOS(E_F) = 1.0056 states/eV/atom
1.0
4.269 0.000 0.000
0.000 4.269 0.000
-2.134 -2.134 4.037
W Te In
2 1 1
direct
0.750 0.250 0.500
0.000 0.000 0.000
0.250 0.750 0.500
0.500 0.500 0.000



## b
InTeW2 | the Alexandria database | GGA-PBEsol | relaxed; SG = C2/m; crystal system = monoclinic; DOS(E_F) = 0.8827 states/eV/atom
1.0
-2.368 -1.951 -0.417
3.741 -2.466 1.792
-2.164 1.670 4.468
Te In W
1 1 2
direct
0.500 0.000 0.000
0.000 0.000 0.500
0.251 0.502 0.244
0.749 0.498 0.756



Quick ranking, most stable first: b, a.



## a
InTeW2 | the Alexandria database | GGA-PBEsol | relaxed; SG = Pmmm; crystal system = orthorhombic; DOS(E_F) = 0.8073 states/eV/atom
1.0
3.340 0.000 0.000
0.000 4.605 0.000
0.000 0.000 4.833
In W Te
1 2 1
direct
0.500 0.500 0.000
0.500 0.000 0.500
0.000 0.000 0.000
0.000 0.500 0.500



## b
InTeW2 | the Alexandria database | GGA-PBEsol | relaxed; SG = P2/m; crystal system = monoclinic; DOS(E_F) = 0.8534 states/eV/atom
1.0
-0.778 -2.374 1.513
2.653 -2.616 -2.741
4.464 0.828 3.532
W In Te
2 1 1
direct
0.880 0.000 0.710
0.120 0.000 0.290
0.500 0.500 0.500
0.000 0.500 0.000



Quick ranking, most stable first: b, a.



## a
Zn2InTe | the Alexandria database | GGA-PBEsol | relaxed; SG = C2/m; crystal system = monoclinic; DOS(E_F) = 0.3608 states/eV/atom
1.0
3.863 0.011 0.014
-1.001 4.859 -0.021
-1.001 -1.251 4.696
Zn Te In
2 1 1
direct
0.000 0.000 0.500
0.000 0.500 0.000
0.500 0.500 0.500
0.500 0.000 0.000



## b
Zn2InTe | the Alexandria database | GGA-PBEsol | relaxed; SG = R-3m; crystal system = trigonal; DOS(E_F) = 0.3854 states/eV/atom
1.0
-2.524 -2.999 -0.307
0.692 -3.357 1.927
-4.018 0.209 5.817
Zn Te In
2 1 1
direct
0.246 0.246 0.261
0.754 0.754 0.739
0.500 0.500 0.500
0.000 0.000 0.000



Quick ranking, most stable first: b, a.



## a
YTlIn | the Alexandria database | GGA-PBEsol | relaxed; SG = F-43m; crystal system = cubic; DOS(E_F) = 0.6233 states/eV/atom
1.0
-1.539 -2.911 -3.774
1.196 -4.863 -0.060
-3.536 -3.458 0.786
Y Tl In
1 1 1
direct
0.250 0.250 0.250
0.500 0.500 0.500
0.000 0.000 0.000



## b
YTlIn | the Alexandria database | GGA-PBEsol | relaxed; SG = P3m1; crystal system = trigonal; DOS(E_F) = 0.3973 states/eV/atom
1.0
3.670 0.000 0.000
0.000 4.881 0.000
0.000 -2.440 4.227
Tl Y In
1 1 1
direct
0.715 0.667 0.333
0.346 0.333 0.667
0.939 0.000 0.000



Quick ranking, most stable first: b, a.



## a
ZrTl2In | the Alexandria database | GGA-PBEsol | relaxed; SG = C2/m; crystal system = monoclinic; DOS(E_F) = 0.5586 states/eV/atom
1.0
-0.571 -0.678 3.336
-4.624 -2.051 -1.208
4.819 -3.351 -1.643
Tl In Zr
2 1 1
direct
0.254 0.254 0.509
0.746 0.746 0.491
0.500 0.000 0.000
0.000 0.500 0.000



## b
ZrTl2In | the Alexandria database | GGA-PBEsol | relaxed; SG = I-4m2; crystal system = tetragonal; DOS(E_F) = 0.3611 states/eV/atom
1.0
4.266 0.000 0.000
0.000 4.266 0.000
-2.133 -2.133 4.991
Zr Tl In
1 2 1
direct
0.500 0.500 0.000
0.250 0.750 0.500
0.000 0.000 0.000
0.750 0.250 0.500



Quick ranking, most stable first: b, a.



## a
ZrTlIn2 | the Alexandria database | GGA-PBEsol | relaxed; SG = Pmm2; crystal system = orthorhombic; DOS(E_F) = 0.6498 states/eV/atom
1.0
3.167 0.000 0.006
0.000 5.297 0.000
-0.010 0.000 5.486
Tl Zr In
1 1 2
direct
0.376 0.000 0.540
0.375 0.500 0.203
0.875 0.000 0.055
0.875 0.500 0.703



## b
ZrTlIn2 | the Alexandria database | GGA-PBEsol | relaxed; SG = I4/mmm; crystal system = tetragonal; DOS(E_F) = 0.3557 states/eV/atom
1.0
-0.585 -4.195 -0.160
0.285 0.122 -4.227
5.032 1.343 2.502
In Tl Zr
2 1 1
direct
0.250 0.750 0.500
0.750 0.250 0.500
0.000 0.000 0.000
0.500 0.500 0.000



Quick ranking, most stable first: b, a.



## a
Y3In5 | the Alexandria database | GGA-PBEsol | relaxed; SG = Cmcm; crystal system = orthorhombic; DOS(E_F) = 0.5294 states/eV/atom
1.0
-6.009 -1.878 0.018
3.073 -5.492 0.184
-0.065 0.305 10.190
Y In
6 10
direct
0.620 0.620 0.750
0.380 0.380 0.250
0.205 0.795 0.000
0.795 0.205 0.000
0.205 0.795 0.500
0.795 0.205 0.500
0.693 0.693 0.045
0.929 0.494 0.250
0.307 0.307 0.545
0.693 0.693 0.455
0.506 0.071 0.750
0.071 0.506 0.750
0.995 0.995 0.250
0.005 0.005 0.750
0.307 0.307 0.955
0.494 0.929 0.250



## b
Y3In5 | the Alexandria database | GGA-PBEsol | relaxed; SG = Cmmm; crystal system = orthorhombic; DOS(E_F) = 0.4647 states/eV/atom
1.0
-0.970 -4.405 -1.189
1.890 -2.004 5.880
-6.128 0.813 1.989
In Y
5 3
direct
0.000 0.000 0.500
0.500 0.265 0.265
0.500 0.735 0.735
0.000 0.500 0.000
0.000 0.000 0.000
0.000 0.500 0.500
0.500 0.227 0.773
0.500 0.773 0.227



Quick ranking, most stable first: a, b.



## a
Y5In | the Alexandria database | GGA-PBEsol | relaxed; SG = Cmmm; crystal system = orthorhombic; DOS(E_F) = 1.2360 states/eV/atom
1.0
-2.159 4.020 1.466
-3.720 -0.954 -2.864
-5.149 -4.260 4.099
Y In
5 1
direct
0.500 0.333 0.334
0.500 0.000 0.000
0.500 0.667 0.666
0.000 0.161 0.678
0.000 0.839 0.322
0.000 0.500 0.000



## b
Y5In | the Alexandria database | GGA-PBEsol | relaxed; SG = Amm2; crystal system = orthorhombic; DOS(E_F) = 1.2021 states/eV/atom
1.0
-0.178 -3.368 -1.120
5.236 0.216 -1.480
2.507 -1.152 8.701
Y In
5 1
direct
0.777 0.500 0.554
0.660 0.000 0.320
0.110 0.500 0.220
0.453 0.500 0.905
0.333 0.000 0.666
0.001 0.000 0.002



Quick ranking, most stable first: a, b.